# HoGa4Pb, relaxed, DFT PBE-GGA
data_HoGa4Pb
_symmetry_space_group_name_H-M 'P 1'
_symmetry_Int_Tables_number 1
_symmetry_space_group_name_Hall 'P 1'
_cell_length_a 5.627
_cell_length_b 5.627
_cell_length_c 5.627
_cell_angle_alpha 60.00
_cell_angle_beta 60.00
_cell_angle_gamma 60.00
loop_
_atom_site_label
_atom_site_fract_x
_atom_site_fract_y
_atom_site_fract_z
Ho1 0.000 0.000 0.000
Ga1 0.375 0.375 0.375
Ga2 0.375 0.375 0.876
Ga3 0.375 0.876 0.375
Ga4 0.876 0.375 0.375
Pb1 0.750 0.750 0.750
# - energy of formation (eV per atom) = -0.214
# - raw total energy (eV per cell) = -21.67
# - space group = No. 216
# - size of the total moment (Bohr magnetons per cell) = 0.000